No. 1
A relaxed MgCd3In7 crystal. Source: Alexandria via LeMat-Bulk, functional GGA-PBE.

a = 6.217 Å, b = 6.292 Å, c = 7.419 Å
α = 88.61°, β = 80.40°, γ = 87.04°
Fractional coordinates of all 11 atoms:
Mg 0.000 0.000 0.000
Cd 0.184 0.225 0.312
Cd 0.500 0.500 0.500
Cd 0.816 0.775 0.688
In 0.123 0.704 0.309
In 0.273 0.479 0.905
In 0.301 0.940 0.640
In 0.500 0.000 0.000
In 0.699 0.060 0.360
In 0.727 0.521 0.095
In 0.877 0.296 0.691

Values from the calculation:
Symmetry: P-1
ΔH_f (0 K): 0.025 eV per atom



No. 2
A relaxed Hg4Pb5 crystal. Source: Alexandria via LeMat-Bulk, functional GGA-PBE.

a = 7.973 Å, b = 7.973 Å, c = 7.973 Å
α = 94.37°, β = 94.37°, γ = 147.94°
Fractional coordinates of all 9 atoms:
Hg 0.170 0.170 0.341
Hg 0.170 0.830 0.000
Hg 0.830 0.170 0.000
Hg 0.830 0.830 0.659
Pb 0.171 0.500 0.671
Pb 0.500 0.171 0.671
Pb 0.500 0.500 0.000
Pb 0.500 0.829 0.329
Pb 0.829 0.500 0.329

Values from the calculation:
Symmetry: I4/mmm
ΔH_f (0 K): 0.029 eV per atom
Relative energy among the computed polymorphs: 0 meV/atom



No. 3
A relaxed Zr2ScCo crystal. Source: Alexandria via LeMat-Bulk, functional GGA-PBE.

a = 5.694 Å, b = 5.694 Å, c = 4.846 Å
α = 115.13°, β = 115.13°, γ = 33.91°
Fractional coordinates of all 4 atoms:
Zr 0.000 0.000 0.000
Zr 0.206 0.206 0.706
Sc 0.412 0.412 0.412
Co 0.703 0.703 0.209

Values from the calculation:
Symmetry: Cm
ΔH_f (0 K): -0.115 eV per atom
Relative energy among the computed polymorphs: 81 meV/atom



No. 4
A relaxed Nd3Er2Ag3 crystal. Source: Alexandria via LeMat-Bulk, functional GGA-PBE.

a = 11.489 Å, b = 11.489 Å, c = 11.489 Å
α = 161.50°, β = 152.73°, γ = 33.16°
Fractional coordinates of all 8 atoms:
Nd 0.000 0.000 0.000
Nd 0.378 0.878 0.500
Nd 0.622 0.122 0.500
Er 0.233 0.233 0.000
Er 0.767 0.767 0.000
Ag 0.123 0.623 0.500
Ag 0.500 0.500 0.000
Ag 0.877 0.377 0.500

Values from the calculation:
Symmetry: Immm
ΔH_f (0 K): -0.194 eV per atom



No. 5
A relaxed Nb2Zn2Br crystal. Source: Alexandria via LeMat-Bulk, functional GGA-PBE.

a = 6.862 Å, b = 6.862 Å, c = 3.985 Å
α = 90.00°, β = 90.00°, γ = 90.00°
Fractional coordinates of all 10 atoms:
Nb 0.140 0.360 0.000
Nb 0.360 0.860 0.000
Nb 0.640 0.140 0.000
Nb 0.860 0.640 0.000
Zn 0.148 0.648 0.500
Zn 0.352 0.148 0.500
Zn 0.648 0.852 0.500
Zn 0.852 0.352 0.500
Br 0.000 0.000 0.000
Br 0.500 0.500 0.000

Values from the calculation:
Symmetry: P4/mbm
Relative energy among the computed polymorphs: 0 meV/atom
Formation energy without anion corrections: 1.31 eV per formula unit



Looking at D(E_F) for the records above, in order, we have 0.37, 0.44, 1.00, 1.07, 0.86 states/eV per atom.
Looking at size of the total moment for the records above, in order, we have 0.00, 0.00, 0.00, 0.00, 0.00 μB per formula unit.